Here is a geometry-optimized Al2NiOsO8 structure from Alexandria via LeMat-Bulk. Energies are from PBE with a Hubbard U.

a = 4.530 Å, b = 4.530 Å, c = 5.880 Å
α = 90.00°, β = 90.00°, γ = 92.29°
Element x y z (fractional)
Al 0.000 0.000 0.239
Al 0.000 0.000 0.761
Ni 0.500 0.500 0.000
Os 0.500 0.500 0.500
O 0.191 0.191 0.000
O 0.193 0.193 0.500
O 0.300 0.700 0.274
O 0.300 0.700 0.726
O 0.700 0.300 0.274
O 0.700 0.300 0.726
O 0.807 0.807 0.500
O 0.809 0.809 0.000

Values from the calculation:
Density   5.93 g/cm³
E   -6.774 eV/atom
Space group   Cmmm (65)